DFT (PBE) results for a geometry-optimized TmCo7C2 structure.

VASP energy: -7.05 eV per atom
DFT formation energy: 213 meV per atom

Lattice parameters (Å, degrees): 3.8895 5.9121 5.9121 117.96 90.00 90.00
Site moments in Bohr magnetons follow the coordinates.
Fractional positions:
1 Tm 0.0000 0.0000 0.0000  -0.20
2 Co 0.5000 0.9481 0.6624  0.96
3 Co 0.5000 0.0519 0.3376  0.96
4 Co 0.5000 0.5000 0.5000  1.51
5 Co 0.5000 0.3376 0.0519  0.96
6 Co 0.0000 0.7059 0.2941  1.36
7 Co 0.5000 0.6624 0.9481  0.96
8 Co 0.0000 0.2941 0.7059  1.36
9 C 0.5000 0.6963 0.3037  -0.04
10 C 0.5000 0.3037 0.6963  -0.04